This record from Alexandria describes a relaxed structure of Cr2CuHg. The functional is PBE.

Energy of formation from the pure elements   0.35 eV/atom
E   -5.5595 eV per atom
Crystal system   orthorhombic
Magnetic moment   0.05 μB/f.u.
Mass density   9.90 g/cm³

Lattice parameters (Å, degrees): 3.938 3.952 7.935 90.00 90.00 90.00
Space group Imm2 (No. 44)
Inequivalent atoms, fractional coordinates:
Cr 0.000 0.000 0.000 x2
Cr 0.000 0.500 0.251 x2
Cu 0.000 0.500 0.750 x2
Hg 0.000 0.000 0.500 x2

***

This record from Alexandria describes a relaxed structure of KCrCu2Hg. The functional is PBE.

Energy of formation from the pure elements   1.03 eV/atom
E   -2.8090 eV per atom
Crystal system   tetragonal
Magnetic moment   5.32 μB/f.u.
Mass density   4.71 g/cm³

Lattice parameters (Å, degrees): 5.012 5.012 5.883 90.00 90.00 90.00
Space group P4/mmm (No. 123)
Inequivalent atoms, fractional coordinates:
K 0.000 0.000 0.000 x1
Cr 0.500 0.500 0.000 x1
Cu 0.000 0.500 0.500 x2
Hg 0.000 0.000 0.500 x1

***

This record from Alexandria describes a relaxed structure of Mn2CrCuHg. The functional is PBE.

Energy of formation from the pure elements   1.49 eV/atom
E   -4.9775 eV per atom
Crystal system   tetragonal
Magnetic moment   13.01 μB/f.u.
Mass density   5.53 g/cm³

Lattice parameters (Å, degrees): 5.005 5.005 5.109 90.00 90.00 90.00
Space group P4/mmm (No. 123)
Inequivalent atoms, fractional coordinates:
Mn 0.000 0.500 0.000 x2
Cr 0.000 0.000 0.500 x1
Cu 0.500 0.500 0.500 x1
Hg 0.000 0.000 0.000 x1